MgZr2Zn3 PBE optimized geometry; space-group type = P4/mmm; formation energy from the elements = -0.213 eV/atom
1.0
-0.4228 2.8538 -1.1233
-1.8704 -1.1386 -2.1886
-8.9964 1.4054 6.9572
Zr Zn Mg
2 3 1
direct
0.5000 0.5000 0.1703
0.5000 0.5000 0.8297
0.0000 0.0000 0.3410
0.0000 0.0000 0.0000
0.0000 0.0000 0.6590
0.5000 0.5000 0.5000